A PBEsol-optimized structure of AgAsPb. Source: Alexandria via LeMat-Bulk, functional SCAN.

Geometry as extended XYZ:
```
3
Lattice="4.3973 0.0000 0.0000 -2.1987 3.8082 0.0000 0.0000 0.0000 4.1637" Properties=species:S:1:pos:R:3 pbc="T T T"
Ag 0.0000 0.0000 0.0000
As 2.1987 1.2694 0.0000
Pb 0.0000 2.5388 2.0818
```

Results
- Symmetry: P-6m2, No. 187
- ΔE_f: 0.082 eV per atom



A PBEsol-optimized structure of SrCuNi2. Source: Alexandria via LeMat-Bulk, functional SCAN.

Geometry as extended XYZ:
```
4
Lattice="2.0386 1.1770 5.0239 -2.0386 1.1770 5.0239 0.0000 -2.3539 5.0239" Properties=species:S:1:pos:R:3 pbc="T T T"
Sr 0.0000 0.0000 0.0000
Cu 0.0000 0.0000 7.5359
Ni 0.0000 0.0000 2.7704
Ni 0.0000 0.0000 12.3014
```

Results
- Symmetry: R-3m, No. 166
- ΔE_f: -0.018 eV per atom
- Distance to the lowest polymorph of the same formula: 0.33 kcal/mol of atoms



A PBEsol-optimized structure of Sr2CrMoOs. Source: Alexandria via LeMat-Bulk, functional SCAN.

Geometry as extended XYZ:
```
5
Lattice="5.7223 0.0000 0.0000 0.0000 5.7223 0.0000 0.0000 0.0000 4.5547" Properties=species:S:1:pos:R:3 pbc="T T T"
Sr 0.0000 2.8612 0.0000
Sr 2.8612 0.0000 0.0000
Cr 0.0000 0.0000 2.2773
Mo 2.8612 2.8612 0.0000
Os 2.8612 2.8612 2.2773
```

Results
- Symmetry: P4/mmm, No. 123
- ΔE_f: 1.267 eV per atom



A PBEsol-optimized structure of NaLuCl4. Source: Alexandria via LeMat-Bulk, functional SCAN.

Geometry as extended XYZ:
```
24
Lattice="6.2108 0.0000 0.0000 0.0000 15.7896 0.0000 0.0000 0.0000 6.4926" Properties=species:S:1:pos:R:3 pbc="T T T"
Na 0.0000 2.8603 1.6232
Na 0.0000 12.9293 4.8695
Na 3.1054 5.0345 4.8695
Na 3.1054 10.7551 1.6232
Lu 0.0000 6.7616 1.6232
Lu 0.0000 9.0280 4.8695
Lu 3.1054 1.1332 4.8695
Lu 3.1054 14.6564 1.6232
Cl 1.4354 7.1186 3.7332
Cl 1.4354 8.6710 0.4869
Cl 1.4838 5.0300 0.6495
Cl 1.4838 10.7596 3.8958
Cl 1.6216 2.8648 3.8958
Cl 1.6216 12.9248 0.6495
Cl 1.6700 0.7762 0.4869
Cl 1.6700 15.0134 3.7332
Cl 4.5408 0.7762 2.7594
Cl 4.5408 15.0134 6.0057
Cl 4.5892 2.8648 5.8431
Cl 4.5892 12.9248 2.5968
Cl 4.7270 5.0300 2.5968
Cl 4.7270 10.7596 5.8431
Cl 4.7754 7.1186 6.0057
Cl 4.7754 8.6710 2.7594
```

Results
- Symmetry: Pbcn, No. 60
- E_form (uncorrected): -2.3606 eV/atom



A PBEsol-optimized structure of La2SiHg. Source: Alexandria via LeMat-Bulk, functional SCAN.

Geometry as extended XYZ:
```
4
Lattice="3.4604 0.0000 0.0000 0.0000 4.0179 0.0000 0.0000 0.0000 7.4442" Properties=species:S:1:pos:R:3 pbc="T T T"
La 0.0000 0.0000 1.6859
La 0.0000 0.0000 5.7584
Si 1.7302 2.0090 0.0000
Hg 1.7302 2.0090 3.7221
```

Results
- Symmetry: Pmmm, No. 47
- E_form (uncorrected): -0.6444 eV/atom



A PBEsol-optimized structure of YRhO2F. Source: Alexandria via LeMat-Bulk, functional SCAN.

Geometry as extended XYZ:
```
5
Lattice="4.3404 0.0000 0.0000 0.0000 4.3404 0.0000 0.0000 0.0000 4.1530" Properties=species:S:1:pos:R:3 pbc="T T T"
Y 0.0000 0.0000 0.0000
Rh 2.1702 2.1702 2.0765
O 0.0000 2.1702 0.0000
O 2.1702 0.0000 0.0000
F 0.0000 0.0000 2.0765
```

Results
- Symmetry: P4/mmm, No. 123
- E_form (uncorrected): -1.6475 eV/atom



A PBEsol-optimized structure of LiCa3N. Source: Alexandria via LeMat-Bulk, functional SCAN.

Geometry as extended XYZ:
```
5
Lattice="4.9384 0.0000 0.0000 0.0000 4.9384 0.0000 0.0000 0.0000 4.9384" Properties=species:S:1:pos:R:3 pbc="T T T"
Li 0.0000 0.0000 0.0000
Ca 0.0000 2.4692 2.4692
Ca 2.4692 0.0000 2.4692
Ca 2.4692 2.4692 0.0000
N 2.4692 2.4692 2.4692
```

Results
- Symmetry: Pm-3m, No. 221
- E_form (uncorrected): -0.4693 eV/atom



A PBEsol-optimized structure of Fe2AsPb. Source: Alexandria via LeMat-Bulk, functional SCAN.

Geometry as extended XYZ:
```
4
Lattice="-1.8881 1.8881 4.5061 1.8881 -1.8881 4.5061 1.8881 1.8881 -4.5061" Properties=species:S:1:pos:R:3 pbc="T T T"
Fe 0.0000 0.0000 0.0000
Fe 0.0000 1.8881 2.2531
As 1.8881 0.0000 2.2531
Pb 0.0000 0.0000 4.5061
```

Results
- Symmetry: I-4m2, No. 119
- ΔE_f: 0.522 eV per atom
- Distance to the lowest polymorph of the same formula: 8.06 kcal/mol of atoms



A PBEsol-optimized structure of Pr2MoC2. Source: Alexandria via LeMat-Bulk, functional SCAN.

Geometry as extended XYZ:
```
20
Lattice="5.7931 0.0000 0.0000 0.0000 5.7931 0.0000 0.0000 0.0000 10.3663" Properties=species:S:1:pos:R:3 pbc="T T T"
Pr 1.1383 1.1383 1.6142
Pr 1.1383 1.1383 8.7520
Pr 1.7583 4.0348 3.5689
Pr 1.7583 4.0348 6.7974
Pr 4.0348 1.7583 3.5689
Pr 4.0348 1.7583 6.7974
Pr 4.6548 4.6548 1.6142
Pr 4.6548 4.6548 8.7520
Mo 1.0179 1.0179 5.1831
Mo 1.8787 3.9144 0.0000
Mo 3.9144 1.8787 0.0000
Mo 4.7752 4.7752 5.1831
C 0.0000 0.0000 3.7152
C 0.0000 0.0000 6.6510
C 0.0000 2.8965 0.0000
C 0.0000 2.8965 5.1831
C 2.8965 0.0000 0.0000
C 2.8965 0.0000 5.1831
C 2.8965 2.8965 1.4679
C 2.8965 2.8965 8.8983
```

Results
- Symmetry: P4_2/mnm, No. 136
- ΔE_f: -0.240 eV per atom



A PBEsol-optimized structure of RbInI2. Source: Alexandria via LeMat-Bulk, functional SCAN.

Geometry as extended XYZ:
```
4
Lattice="0.0000 4.2074 4.2074 4.2074 0.0000 4.2074 4.2074 4.2074 0.0000" Properties=species:S:1:pos:R:3 pbc="T T T"
Rb 0.0000 0.0000 0.0000
In 4.2074 4.2074 4.2074
I 2.1037 2.1037 2.1037
I 6.3110 6.3110 6.3110
```

Results
- Symmetry: Fm-3m, No. 225
- E_form (uncorrected): -1.0077 eV/atom
- Distance to the lowest polymorph of the same formula: 0.00 kcal/mol of atoms



A PBEsol-optimized structure of CuPt. Source: Alexandria via LeMat-Bulk, functional SCAN.

Geometry as extended XYZ:
```
12
Lattice="0.0000 3.7673 7.9788 2.6625 0.0000 7.9788 2.6625 3.7673 0.0000" Properties=species:S:1:pos:R:3 pbc="T T T"
Cu 0.0000 0.0000 0.0000
Cu 2.6625 3.7673 2.6070
Cu 2.6625 3.7673 7.9788
Cu 3.9938 5.6510 9.2917
Cu 2.6625 3.7673 13.3506
Cu 3.9938 5.6510 14.6447
Pt 1.3313 1.8837 1.2409
Pt 1.3313 1.8837 3.9894
Pt 2.6625 3.7673 5.3956
Pt 1.3313 1.8837 6.7379
Pt 2.6625 3.7673 10.5620
Pt 3.9938 5.6510 11.9682
```

Results
- Symmetry: F222, No. 22
- ΔE_f: -0.125 eV per atom



A PBEsol-optimized structure of Be3Mo. Source: Alexandria via LeMat-Bulk, functional SCAN.

Geometry as extended XYZ:
```
4
Lattice="3.4069 0.0000 0.0000 0.0000 3.4069 0.0000 0.0000 0.0000 3.4069" Properties=species:S:1:pos:R:3 pbc="T T T"
Be 0.0000 0.0000 1.7035
Be 0.0000 1.7035 0.0000
Be 1.7035 0.0000 0.0000
Mo 1.7035 1.7035 1.7035
```

Results
- Symmetry: Pm-3m, No. 221
- ΔE_f: -0.234 eV per atom
- Distance to the lowest polymorph of the same formula: 0.00 kcal/mol of atoms



| no. | N(E_F) (states/eV/cell) |
| --- | --- |
| 1 | 0.8 |
| 2 | 3.5 |
| 3 | 4.9 |
| 4 | 0.0 |
| 5 | 2.7 |
| 6 | 1.5 |
| 7 | 3.4 |
| 8 | 2.5 |
| 9 | 8.5 |
| 10 | 0.0 |
| 11 | 8.9 |
| 12 | 0.5 |